Entry 1:
This record from OQMD via LeMat-Bulk describes a relaxed structure of LiNpCd. The functional is PBE-GGA.

Unit cell a=4.705 b=4.705 c=4.705 alpha=60.00 beta=60.00 gamma=60.00
Sites, in units of the cell vectors:
1 Cd 0.250 0.250 0.250
2 Li 0.000 0.000 0.000
3 Np 0.750 0.750 0.750

=====

Entry 2:
This record from OQMD via LeMat-Bulk describes a relaxed structure of Hf2CoAs2. The functional is PBE-GGA.

Unit cell a=7.367 b=7.367 c=7.367 alpha=151.67 beta=151.67 gamma=40.49
Sites, in units of the cell vectors:
1 Co 0.000 0.000 0.000
2 As 0.750 0.250 0.500
3 As 0.250 0.750 0.500
4 Hf 0.399 0.399 0.000
5 Hf 0.601 0.601 0.000

=====

Final energy (computed, eV/f.u.): -13.3; -36.5